A plane-wave DFT calculation with PBE was carried out for crystalline SrAcSi at its relaxed geometry.

Total DFT energy (no corrections), eV per atom: -4.04
Energy above the most stable polymorph in this dataset, meV/atom: 38
Formation energy without anion corrections, eV/f.u.: -0.91

Unit cell a=7.5679 b=7.5679 c=7.5679 alpha=90.00 beta=90.00 gamma=90.00
Last column: nearest neighbours and their distance in Å.
Space group F-43m (No. 216)
Inequivalent atoms, fractional coordinates:
Sr 0.0000 0.0000 0.0000 [4 per cell]  4 Si 3.28
Ac 0.0000 0.0000 0.5000 [4 per cell]  4 Si 3.28
Si 0.2500 0.2500 0.2500 [4 per cell]  4 Sr 3.28, 4 Ac 3.28